1.
DySnHg2: relaxed, PBE.

Cell and atoms, written as POSCAR:
```
DySnHg2
1.0
3.907 0.000 0.000
0.000 3.907 0.000
0.000 0.000 6.625
Hg Dy Sn
2 1 1
Cartesian
0.000 0.000 1.659
0.000 0.000 4.966
1.953 1.953 0.000
1.953 1.953 3.312
```

Values from the calculation:
- Formation enthalpy at 0 K: -0.28 eV/atom

=====

2.
Y2AlIn2: relaxed, PBE.

Cell and atoms, written as POSCAR:
```
Y2AlIn2
1.0
-0.142 3.723 -6.354
6.009 -3.615 -2.253
-2.726 -3.347 -1.900
In Y Al
4 4 2
Cartesian
0.736 1.876 -4.361
5.131 -1.768 -4.246
3.708 0.906 -6.916
2.158 -0.798 -1.691
0.503 0.224 -6.969
2.637 -3.463 -3.538
3.530 -2.181 -7.076
-0.390 -1.058 -3.431
0.000 0.000 0.000
2.933 0.054 -4.303
```

Values from the calculation:
- Formation enthalpy at 0 K: -0.42 eV/atom

=====

3.
La3PmTe4: relaxed, PBE.

Cell and atoms, written as POSCAR:
```
La3PmTe4
1.0
4.519 0.000 0.000
0.000 7.906 -0.050
0.000 -2.540 7.487
La Te Pm
3 4 1
Cartesian
0.000 3.953 -0.025
0.000 -1.270 3.744
2.260 2.683 3.719
0.000 1.315 1.822
2.260 0.046 5.622
0.000 4.052 5.615
2.260 5.321 1.816
2.260 0.000 0.000
```

Values from the calculation:
- Energy relative to the elements, uncorrected: -1549 meV/atom

=====

4.
TlGaHg2: relaxed, PBE.

Cell and atoms, written as POSCAR:
```
TlGaHg2
1.0
4.595 0.000 0.000
0.000 4.927 1.653
0.000 1.088 10.040
Ga Tl Hg
2 2 4
Cartesian
1.149 1.814 3.910
3.446 4.201 7.783
3.446 1.289 8.832
1.149 4.726 2.862
1.149 3.884 9.635
3.446 2.016 5.625
3.446 2.131 2.058
1.149 3.999 6.068
```

Values from the calculation:
- Formation enthalpy at 0 K: 0.05 eV/atom

=====

5.
Ba12In3O5: relaxed, PBE.

Cell and atoms, written as POSCAR:
```
Ba12In3O5
1.0
15.659 0.000 0.000
-5.220 14.764 0.000
-5.220 -7.382 12.786
In Ba O
12 48 20
Cartesian
3.915 8.304 7.991
3.915 0.000 9.589
9.134 10.150 1.598
11.744 0.000 3.196
1.305 -0.923 4.795
-3.915 -2.768 11.187
-3.915 2.768 11.187
6.525 0.923 4.795
1.305 7.382 3.196
-1.305 6.459 7.991
9.134 4.614 1.598
-6.525 7.382 9.589
-6.153 -0.128 10.420
3.289 2.153 4.027
-1.676 0.128 10.420
0.180 4.610 5.099
1.177 1.406 7.465
-1.433 8.788 5.321
8.010 4.352 4.950
-5.400 10.412 4.950
-3.289 8.661 10.271
3.543 9.366 1.293
-2.790 -5.802 12.637
-1.177 5.311 11.343
-4.540 6.508 6.542
4.540 -2.153 4.027
4.043 5.975 5.321
-1.177 -3.905 8.907
10.619 -3.030 7.835
11.373 7.510 2.365
-0.934 5.397 1.293
-0.679 1.280 2.514
1.676 2.112 11.714
1.676 -1.985 11.492
-2.790 3.030 7.835
6.397 11.287 3.878
5.040 2.772 7.686
8.010 13.184 0.149
6.397 2.071 1.443
0.679 9.535 8.758
9.007 -5.311 11.343
2.430 10.154 5.099
-6.653 3.905 8.907
5.899 6.102 10.271
10.259 1.580 0.149
-3.787 12.693 1.443
2.790 -2.772 7.686
3.543 5.269 1.072
1.930 5.229 8.758
7.150 8.255 6.542
-0.934 9.494 1.072
8.509 -1.280 2.514
9.760 0.873 6.244
11.872 3.477 3.878
-1.930 -0.873 6.244
6.896 7.254 2.365
6.653 -1.406 7.465
-5.040 5.802 12.637
6.153 1.985 11.492
6.153 -2.112 11.714
5.220 7.382 0.000
6.525 6.459 4.795
-2.610 7.382 0.000
6.525 -4.614 11.187
7.830 0.000 0.000
-2.610 -3.691 6.393
-1.305 11.995 1.598
3.915 11.073 3.196
1.305 4.614 11.187
1.305 -3.691 9.589
-1.305 3.691 3.196
9.134 -0.923 7.991
0.000 0.000 0.000
2.610 3.691 6.393
-1.305 0.923 7.991
-3.915 8.304 4.795
5.220 -3.691 6.393
6.525 3.691 9.589
3.915 2.768 1.598
-5.220 3.691 6.393
```

Values from the calculation:
- Energy relative to the elements, uncorrected: -1308 meV/atom

=====

6.
TeAsW4: relaxed, PBE.

Cell and atoms, written as POSCAR:
```
TeAsW4
1.0
0.000 3.820 3.820
3.820 0.000 3.820
3.820 3.820 0.000
W As Te
4 1 1
Cartesian
4.770 4.770 2.870
2.870 2.870 2.870
2.870 4.770 4.770
4.770 2.870 4.770
5.730 5.730 5.730
0.000 0.000 0.000
```

Values from the calculation:
- Energy relative to the elements, uncorrected: 905 meV/atom

=====

7.
SmTlRh2: relaxed, PBE.

Cell and atoms, written as POSCAR:
```
SmTlRh2
1.0
-3.046 -0.088 1.693
1.525 -1.663 2.658
1.374 5.689 2.770
Sm Rh Tl
1 2 1
Cartesian
-0.761 -0.875 2.175
1.014 4.196 2.043
0.361 1.493 0.727
-0.074 1.969 3.560
```

Values from the calculation:
- Formation enthalpy at 0 K: -0.36 eV/atom

=====

8.
CaAcHg3: relaxed, PBE.

Cell and atoms, written as POSCAR:
```
CaAcHg3
1.0
5.086 0.000 0.000
0.000 3.881 0.000
0.000 -1.940 14.810
Ca Hg Ac
2 6 2
Cartesian
1.272 1.940 8.618
3.815 0.000 6.192
3.815 1.940 0.727
3.815 1.940 3.684
1.272 1.940 5.405
1.272 0.000 14.083
1.272 0.000 11.125
3.815 0.000 9.405
1.272 0.000 2.266
3.815 1.940 12.544
```

Values from the calculation:
- Formation enthalpy at 0 K: -0.48 eV/atom

=====

Number 1: volume 101 Å³ per cell. Number 2: volume 256 Å³ per cell. Number 3: volume 267 Å³ per cell. Number 4: volume 219 Å³ per cell. Number 5: volume 2956 Å³ per cell. Number 6: volume 111 Å³ per cell. Number 7: volume 79 Å³ per cell. Number 8: volume 292 Å³ per cell.